Density functional theory data (GGA-PBE) for an optimized crystal structure of Ac8PtRh3Cl4.

Geometry as POSCAR:
```
Ac8PtRh3Cl4
1.0
7.529 -4.348 0.000
7.529 4.348 0.000
-5.031 0.000 7.985
Ac Pt Rh Cl
8 1 3 4
direct
0.231 0.737 0.703
0.235 0.235 0.703
0.263 0.769 0.297
0.264 0.264 0.297
0.736 0.736 0.703
0.737 0.231 0.703
0.765 0.765 0.297
0.769 0.263 0.297
0.500 0.500 0.500
0.000 0.000 0.500
0.000 0.500 0.500
0.500 0.000 0.500
0.000 0.000 0.000
0.000 0.500 0.000
0.500 0.000 0.000
0.500 0.500 0.000
```

Values from the calculation:
Formation energy from raw total energies   -1.30 eV/atom

=====

Density functional theory data (GGA-PBE) for an optimized crystal structure of KSbW2.

Geometry as POSCAR:
```
KSbW2
1.0
4.678 0.000 0.000
0.000 4.678 0.000
0.000 0.000 19.984
K Sb W
4 4 8
direct
0.000 0.000 0.000
0.000 0.500 0.250
0.500 0.000 0.750
0.500 0.500 0.500
0.000 0.000 0.500
0.000 0.500 0.750
0.500 0.000 0.250
0.500 0.500 0.000
0.087 0.250 0.625
0.250 0.587 0.875
0.250 0.913 0.375
0.413 0.250 0.125
0.587 0.750 0.125
0.750 0.087 0.375
0.750 0.413 0.875
0.913 0.750 0.625
```

Values from the calculation:
Formation energy from raw total energies   1.42 eV/atom

=====

Density functional theory data (GGA-PBE) for an optimized crystal structure of LiAl2Tl2.

Geometry as POSCAR:
```
LiAl2Tl2
1.0
4.695 0.000 0.000
0.000 4.695 0.000
0.000 0.000 11.822
Li Al Tl
2 4 4
direct
0.000 0.000 0.000
0.500 0.500 0.500
0.000 0.000 0.393
0.000 0.000 0.607
0.500 0.500 0.107
0.500 0.500 0.893
0.000 0.500 0.250
0.000 0.500 0.750
0.500 0.000 0.250
0.500 0.000 0.750
```

Values from the calculation:
Energy relative to the lowest polymorph listed for this composition   0.1044 eV per atom
DFT formation energy   102.2 kJ/mol of formula units

=====

Density functional theory data (GGA-PBE) for an optimized crystal structure of Tl2H3Pd5.

Geometry as POSCAR:
```
Tl2H3Pd5
1.0
-3.662 6.917 2.751
3.662 -6.917 2.751
3.662 6.917 -2.751
Tl H Pd
4 6 10
direct
0.154 0.177 0.331
0.346 0.677 0.024
0.654 0.323 0.976
0.846 0.823 0.669
0.097 0.573 0.670
0.250 0.250 0.000
0.403 0.073 0.477
0.597 0.927 0.523
0.750 0.750 0.000
0.903 0.427 0.330
0.053 0.750 0.303
0.056 0.836 0.892
0.250 0.750 0.500
0.444 0.336 0.780
0.447 0.750 0.697
0.553 0.250 0.303
0.556 0.664 0.220
0.750 0.250 0.500
0.944 0.164 0.108
0.947 0.250 0.697
```

Values from the calculation:
Final energy   -4.14 eV/atom

=====

Density functional theory data (GGA-PBE) for an optimized crystal structure of PmYInPb.

Geometry as POSCAR:
```
PmYInPb
1.0
7.710 0.000 0.000
0.000 7.710 0.000
0.000 0.000 7.710
Pm Y In Pb
4 4 4 4
direct
0.000 0.000 0.000
0.000 0.500 0.500
0.500 0.000 0.500
0.500 0.500 0.000
0.000 0.000 0.500
0.000 0.500 0.000
0.500 0.000 0.000
0.500 0.500 0.500
0.250 0.250 0.750
0.250 0.750 0.250
0.750 0.250 0.250
0.750 0.750 0.750
0.250 0.250 0.250
0.250 0.750 0.750
0.750 0.250 0.750
0.750 0.750 0.250
```

Values from the calculation:
Energy relative to the lowest polymorph listed for this composition   0.0414 eV per atom
DFT formation energy   -171.5 kJ/mol of formula units

=====

Density functional theory data (GGA-PBE) for an optimized crystal structure of Pu2AgIr.

Geometry as POSCAR:
```
Pu2AgIr
1.0
5.351 0.000 0.000
0.000 5.351 0.000
0.000 0.000 2.999
Pu Ag Ir
2 1 1
direct
0.000 0.500 0.000
0.500 0.000 0.000
0.000 0.000 0.500
0.500 0.500 0.500
```

Values from the calculation:
DFT formation energy   -46.3 kJ/mol of formula units

=====

Density functional theory data (GGA-PBE) for an optimized crystal structure of TlIr2Cl.

Geometry as POSCAR:
```
TlIr2Cl
1.0
3.007 0.000 0.000
0.000 3.833 0.000
0.000 0.000 6.028
Tl Ir Cl
1 2 1
direct
0.000 0.000 0.000
0.500 0.500 0.263
0.500 0.500 0.737
0.000 0.000 0.500
```

Values from the calculation:
Formation energy from raw total energies   1.03 eV/atom
Energy relative to the lowest polymorph listed for this composition   0.7218 eV per atom

=====

Density functional theory data (GGA-PBE) for an optimized crystal structure of CaVTe2.

Geometry as POSCAR:
```
CaVTe2
1.0
3.683 0.000 0.000
0.000 3.683 0.000
0.000 0.000 7.497
Ca V Te
1 1 2
direct
0.000 0.000 0.000
0.000 0.000 0.500
0.500 0.500 0.274
0.500 0.500 0.726
```

Values from the calculation:
Formation energy from raw total energies   -0.42 eV/atom
Energy relative to the lowest polymorph listed for this composition   0.1589 eV per atom

=====

no.,mass density (g cm⁻³)
1,7.82
2,8.03
3,5.99
4,11.25
5,8.06
6,15.24
7,14.92
8,5.65